{"formula": "Al3Fe2Si4", "functional": "PBE", "state": "relaxed", "formation_energy_uncorrected_ev_per_atom": -0.05, "sg": "No. 63", "lattice": [[-2.476, -6.573, 2.766], [4.866, 5.469, -1.842], [-1.806, 5.315, 11.014]], "species": ["Fe", "Si", "Si", "Al", "Fe", "Fe", "Al", "Al", "Al", "Si", "Si", "Fe", "Si", "Al", "Al", "Si", "Si", "Si"], "frac_coords": [[0.089, 0.911, 0.136], [0.315, 0.685, 0.535], [0.315, 0.685, 0.965], [0.932, 0.068, 0.075], [0.911, 0.089, 0.636], [0.911, 0.089, 0.864], [0.308, 0.692, 0.750], [0.692, 0.308, 0.250], [0.068, 0.932, 0.925], [0.685, 0.315, 0.465], [0.685, 0.315, 0.035], [0.089, 0.911, 0.364], [0.654, 0.346, 0.750], [0.068, 0.932, 0.575], [0.932, 0.068, 0.425], [0.346, 0.654, 0.250], [0.509, 0.491, 0.250], [0.491, 0.509, 0.750]]}